Record 1
First-principles (GGA-PBE) data for crystalline Ba3Cu2SnS6 at its relaxed geometry, as listed in Alexandria.

```
Ba3Cu2SnS6
1.0
7.317 0.000 0.000
-3.659 6.337 0.000
0.000 0.000 7.909
Ba S Cu Sn
3 6 2 1
direct
0.000 0.000 0.000
0.667 0.333 0.366
0.333 0.667 0.634
0.164 0.836 0.298
0.836 0.672 0.702
0.328 0.164 0.702
0.672 0.836 0.298
0.836 0.164 0.702
0.164 0.328 0.298
0.667 0.333 0.760
0.333 0.667 0.240
0.000 0.000 0.500
```

Calculated values
Energy relative to the elements, uncorrected in eV per atom: -1.02
N(E_F) in states/eV/atom: 0.38

Record 2
First-principles (GGA-PBE) data for crystalline BaCuSnS3 at its relaxed geometry, as listed in Alexandria.

```
BaCuSnS3
1.0
-1.669 7.298 0.415
-7.074 2.359 0.778
-1.923 2.654 7.477
Cu S Ba Sn
2 6 2 2
direct
0.691 0.309 0.500
0.309 0.691 0.500
0.232 0.232 0.622
0.768 0.768 0.378
0.651 0.186 0.798
0.186 0.651 0.798
0.349 0.814 0.202
0.814 0.349 0.202
0.721 0.721 0.791
0.279 0.279 0.209
0.027 0.027 0.813
0.973 0.973 0.187
```

Calculated values
Energy relative to the elements, uncorrected in eV per atom: -0.84
N(E_F) in states/eV/atom: 0.00

Taking the records one at a time from the top gives total energy values of -4.577, -4.577 eV/atom.